[1]
# LiPt2Br (PBE, relaxed)
# polymorph energy (0 for the lowest one)	253	meV per atom
# Fermi-level density of states	4.79	states/eV per cell
# raw formation energy	23	meV/atom
data_LiPt2Br
_cell_length_a 2.799
_cell_length_b 4.658
_cell_length_c 12.035
_cell_angle_alpha 90.00
_cell_angle_beta 90.00
_cell_angle_gamma 90.00
_symmetry_space_group_name_H-M 'C m m m'
_symmetry_Int_Tables_number 65
_symmetry_space_group_name_Hall '-C 2 2'
loop_
_atom_site_label
_atom_site_type_symbol
_atom_site_fract_x
_atom_site_fract_y
_atom_site_fract_z
Li1 Li 0.000 0.000 0.000
Pt1 Pt 0.000 0.500 0.178
Br1 Br 0.000 0.000 0.500

=====

[2]
# Zr4Ir2Os (PBE, relaxed)
# E_form	-0.646	eV/atom
# Fermi-level density of states	9.98	states/eV per cell
data_Zr4Ir2Os
_cell_length_a 4.6258
_cell_length_b 4.6258
_cell_length_c 22.4922
_cell_angle_alpha 90.00
_cell_angle_beta 90.00
_cell_angle_gamma 120.00
_symmetry_space_group_name_H-M 'R -3 m'
_symmetry_Int_Tables_number 166
_symmetry_space_group_name_Hall '-R 3 2"'
loop_
_atom_site_label
_atom_site_type_symbol
_atom_site_fract_x
_atom_site_fract_y
_atom_site_fract_z
Zr1 Zr 0.0000 0.0000 0.1224
Zr2 Zr 0.0000 0.0000 0.3731
Ir1 Ir 0.0000 0.0000 0.2494
Os1 Os 0.0000 0.0000 0.5000

=====

[3]
# LaY2CoSb (PBE, relaxed)
# Fermi-level density of states	4.26	states/eV per cell
# raw formation energy	-461	meV/atom
data_LaY2CoSb
_cell_length_a 5.256
_cell_length_b 5.256
_cell_length_c 5.019
_cell_angle_alpha 90.00
_cell_angle_beta 90.00
_cell_angle_gamma 90.00
_symmetry_space_group_name_H-M 'P 4/m m m'
_symmetry_Int_Tables_number 123
_symmetry_space_group_name_Hall '-P 4 2'
loop_
_atom_site_label
_atom_site_type_symbol
_atom_site_fract_x
_atom_site_fract_y
_atom_site_fract_z
La1 La 0.000 0.000 0.000
Y1 Y 0.000 0.500 0.500
Co1 Co 0.000 0.000 0.500
Sb1 Sb 0.500 0.500 0.000

=====

[4]
# MgGa2Au (PBE, relaxed)
# E_form	-0.267	eV/atom
# Fermi-level density of states	3.88	states/eV per cell
data_MgGa2Au
_cell_length_a 4.3957
_cell_length_b 4.3957
_cell_length_c 13.9015
_cell_angle_alpha 90.00
_cell_angle_beta 90.00
_cell_angle_gamma 120.00
_symmetry_space_group_name_H-M 'R 3 m'
_symmetry_Int_Tables_number 160
_symmetry_space_group_name_Hall 'R 3 -2"'
loop_
_atom_site_label
_atom_site_type_symbol
_atom_site_fract_x
_atom_site_fract_y
_atom_site_fract_z
Mg1 Mg 0.0000 0.0000 0.0000
Ga1 Ga 0.0000 0.0000 0.2188
Ga2 Ga 0.0000 0.0000 0.4207
Au1 Au 0.0000 0.0000 0.8035

=====

[5]
# SmPuIn2Se4 (PBE, relaxed)
# Fermi-level density of states	12.27	states/eV per cell
# raw formation energy	-1149	meV/atom
data_SmPuIn2Se4
_cell_length_a 7.321
_cell_length_b 4.226
_cell_length_c 8.067
_cell_angle_alpha 90.00
_cell_angle_beta 107.60
_cell_angle_gamma 90.00
_symmetry_space_group_name_H-M 'P 1 2/m 1'
_symmetry_Int_Tables_number 10
loop_
_symmetry_equiv_pos_as_xyz
'x,y,z'
'-x,-y,-z'
'-x,y,-z'
'x,-y,z'
loop_
_atom_site_label
_atom_site_type_symbol
_atom_site_fract_x
_atom_site_fract_y
_atom_site_fract_z
Sm1 Sm 0.000 0.000 0.000
Pu1 Pu 0.500 0.500 0.000
In1 In 0.000 0.500 0.500
In2 In 0.500 0.000 0.500
Se1 Se 0.239 0.500 0.213
Se2 Se 0.267 0.000 0.791

=====

[6]
# Sm2AlZn4Au3 (PBE, relaxed)
# E_form	-0.517	eV/atom
# Fermi-level density of states	3.68	states/eV per cell
data_Sm2AlZn4Au3
_cell_length_a 4.129
_cell_length_b 4.129
_cell_length_c 11.692
_cell_angle_alpha 90.00
_cell_angle_beta 90.00
_cell_angle_gamma 90.00
_symmetry_space_group_name_H-M 'P -4 m 2'
_symmetry_Int_Tables_number 115
loop_
_symmetry_equiv_pos_as_xyz
'x,y,z'
'y,-x,-z'
'-x,-y,z'
'-y,x,-z'
'-x,y,z'
'-y,-x,-z'
'x,-y,z'
'y,x,-z'
loop_
_atom_site_label
_atom_site_type_symbol
_atom_site_fract_x
_atom_site_fract_y
_atom_site_fract_z
Sm1 Sm 0.000 0.500 0.245
Al1 Al 0.500 0.500 0.000
Zn1 Zn 0.000 0.000 0.500
Zn2 Zn 0.000 0.500 0.863
Zn3 Zn 0.500 0.500 0.500
Au1 Au 0.000 0.000 0.000
Au2 Au 0.000 0.500 0.644

=====

[7]
# NaGdTlBi (PBE, relaxed)
# E_form	-0.341	eV/atom
# Fermi-level density of states	14.72	states/eV per cell
data_NaGdTlBi
_cell_length_a 7.742
_cell_length_b 7.742
_cell_length_c 7.742
_cell_angle_alpha 90.00
_cell_angle_beta 90.00
_cell_angle_gamma 90.00
_symmetry_space_group_name_H-M 'F -4 3 m'
_symmetry_Int_Tables_number 216
_symmetry_space_group_name_Hall 'F -4 2 3'
loop_
_atom_site_label
_atom_site_type_symbol
_atom_site_fract_x
_atom_site_fract_y
_atom_site_fract_z
Na1 Na 0.000 0.000 0.000
Gd1 Gd 0.000 0.000 0.500
Tl1 Tl 0.250 0.250 0.250
Bi1 Bi 0.250 0.250 0.750

=====

[8]
# BeBTeN2 (PBE, relaxed)
# polymorph energy (0 for the lowest one)	0	meV per atom
# Fermi-level density of states	2.38	states/eV per cell
# raw formation energy	1215	meV/atom
data_BeBTeN2
_cell_length_a 3.243
_cell_length_b 3.243
_cell_length_c 7.693
_cell_angle_alpha 90.00
_cell_angle_beta 90.00
_cell_angle_gamma 90.00
_symmetry_space_group_name_H-M 'P 4/m m m'
_symmetry_Int_Tables_number 123
_symmetry_space_group_name_Hall '-P 4 2'
loop_
_atom_site_label
_atom_site_type_symbol
_atom_site_fract_x
_atom_site_fract_y
_atom_site_fract_z
Be1 Be 0.000 0.000 0.000
B1 B 0.500 0.500 0.500
Te1 Te 0.500 0.500 0.000
N1 N 0.000 0.500 0.500

=====

[9]
# Nd6AlHg (PBE, relaxed)
# E_form	-0.174	eV/atom
# Fermi-level density of states	10.67	states/eV per cell
data_Nd6AlHg
_cell_length_a 4.917
_cell_length_b 4.917
_cell_length_c 9.846
_cell_angle_alpha 90.00
_cell_angle_beta 90.00
_cell_angle_gamma 90.00
_symmetry_space_group_name_H-M 'P 4/m m m'
_symmetry_Int_Tables_number 123
_symmetry_space_group_name_Hall '-P 4 2'
loop_
_atom_site_label
_atom_site_type_symbol
_atom_site_fract_x
_atom_site_fract_y
_atom_site_fract_z
Nd1 Nd 0.000 0.000 0.000
Nd2 Nd 0.000 0.000 0.500
Nd3 Nd 0.000 0.500 0.244
Al1 Al 0.500 0.500 0.000
Hg1 Hg 0.500 0.500 0.500

=====

[10]
# AgHPtPb2 (PBE, relaxed)
# polymorph energy (0 for the lowest one)	22	meV per atom
# Fermi-level density of states	1.97	states/eV per cell
data_AgHPtPb2
_cell_length_a 5.578
_cell_length_b 5.578
_cell_length_c 3.409
_cell_angle_alpha 90.00
_cell_angle_beta 90.00
_cell_angle_gamma 90.00
_symmetry_space_group_name_H-M 'P 4/m m m'
_symmetry_Int_Tables_number 123
_symmetry_space_group_name_Hall '-P 4 2'
loop_
_atom_site_label
_atom_site_type_symbol
_atom_site_fract_x
_atom_site_fract_y
_atom_site_fract_z
Ag1 Ag 0.000 0.000 0.000
H1 H 0.500 0.500 0.000
Pt1 Pt 0.500 0.500 0.500
Pb1 Pb 0.000 0.500 0.500

=====

[11]
# CaTbSiHg (PBE, relaxed)
# Fermi-level density of states	12.96	states/eV per cell
# raw formation energy	-438	meV/atom
data_CaTbSiHg
_cell_length_a 7.311
_cell_length_b 7.311
_cell_length_c 7.311
_cell_angle_alpha 90.00
_cell_angle_beta 90.00
_cell_angle_gamma 90.00
_symmetry_space_group_name_H-M 'F -4 3 m'
_symmetry_Int_Tables_number 216
_symmetry_space_group_name_Hall 'F -4 2 3'
loop_
_atom_site_label
_atom_site_type_symbol
_atom_site_fract_x
_atom_site_fract_y
_atom_site_fract_z
Ca1 Ca 0.000 0.000 0.000
Tb1 Tb 0.000 0.000 0.500
Si1 Si 0.250 0.250 0.750
Hg1 Hg 0.250 0.250 0.250

=====

[12]
# La2Nd3HoSe6 (PBE, relaxed)
# Fermi-level density of states	12.69	states/eV per cell
# raw formation energy	-1871	meV/atom
data_La2Nd3HoSe6
_cell_length_a 18.411
_cell_length_b 4.211
_cell_length_c 8.511
_cell_angle_alpha 90.00
_cell_angle_beta 103.16
_cell_angle_gamma 90.00
_symmetry_space_group_name_H-M 'C 1 2/m 1'
_symmetry_Int_Tables_number 12
loop_
_symmetry_equiv_pos_as_xyz
'x,y,z'
'-x,-y,-z'
'-x,y,-z'
'x,-y,z'
'x+1/2,y+1/2,z'
'-x+1/2,-y+1/2,-z'
'-x+1/2,y+1/2,-z'
'x+1/2,-y+1/2,z'
loop_
_atom_site_label
_atom_site_type_symbol
_atom_site_fract_x
_atom_site_fract_y
_atom_site_fract_z
La1 La 0.166 0.000 0.334
Nd1 Nd 0.000 0.500 0.500
Nd2 Nd 0.170 0.000 0.835
Ho1 Ho 0.000 0.500 0.000
Se1 Se 0.003 0.000 0.763
Se2 Se 0.161 0.500 0.078
Se3 Se 0.165 0.500 0.587

=====

[13]
# TbRu2W (PBE, relaxed)
# polymorph energy (0 for the lowest one)	0	meV per atom
# E_form	-0.081	eV/atom
# Fermi-level density of states	4.87	states/eV per cell
data_TbRu2W
_cell_length_a 3.122
_cell_length_b 3.122
_cell_length_c 7.231
_cell_angle_alpha 90.00
_cell_angle_beta 90.00
_cell_angle_gamma 90.00
_symmetry_space_group_name_H-M 'P 4/m m m'
_symmetry_Int_Tables_number 123
_symmetry_space_group_name_Hall '-P 4 2'
loop_
_atom_site_label
_atom_site_type_symbol
_atom_site_fract_x
_atom_site_fract_y
_atom_site_fract_z
Tb1 Tb 0.000 0.000 0.000
Ru1 Ru 0.500 0.500 0.294
W1 W 0.000 0.000 0.500

=====

[14]
# NdSm2Mn (PBE, relaxed)
# E_form	0.159	eV/atom
# Fermi-level density of states	6.33	states/eV per cell
data_NdSm2Mn
_cell_length_a 3.614
_cell_length_b 3.614
_cell_length_c 8.944
_cell_angle_alpha 90.00
_cell_angle_beta 90.00
_cell_angle_gamma 90.00
_symmetry_space_group_name_H-M 'P 4/m m m'
_symmetry_Int_Tables_number 123
_symmetry_space_group_name_Hall '-P 4 2'
loop_
_atom_site_label
_atom_site_type_symbol
_atom_site_fract_x
_atom_site_fract_y
_atom_site_fract_z
Nd1 Nd 0.000 0.000 0.000
Sm1 Sm 0.500 0.500 0.301
Mn1 Mn 0.000 0.000 0.500

=====

[15]
# Sr8LiIn2 (PBE, relaxed)
# E_form	-0.168	eV/atom
# Fermi-level density of states	22.66	states/eV per cell
data_Sr8LiIn2
_cell_length_a 20.712
_cell_length_b 5.783
_cell_length_c 8.349
_cell_angle_alpha 90.00
_cell_angle_beta 108.34
_cell_angle_gamma 90.00
_symmetry_space_group_name_H-M 'C 1 2/m 1'
_symmetry_Int_Tables_number 12
loop_
_symmetry_equiv_pos_as_xyz
'x,y,z'
'-x,-y,-z'
'-x,y,-z'
'x,-y,z'
'x+1/2,y+1/2,z'
'-x+1/2,-y+1/2,-z'
'-x+1/2,y+1/2,-z'
'x+1/2,-y+1/2,z'
loop_
_atom_site_label
_atom_site_type_symbol
_atom_site_fract_x
_atom_site_fract_y
_atom_site_fract_z
Sr1 Sr 0.031 0.000 0.277
Sr2 Sr 0.100 0.500 0.969
Sr3 Sr 0.171 0.500 0.460
Sr4 Sr 0.199 0.000 0.805
Li1 Li 0.000 0.500 0.500
In1 In 0.185 0.000 0.202

=====

[16]
# Ga2SnBr6 (PBE, relaxed)
# polymorph energy (0 for the lowest one)	118	meV per atom
# Fermi-level density of states	8.33	states/eV per cell
# raw formation energy	-653	meV/atom
data_Ga2SnBr6
_cell_length_a 14.001
_cell_length_b 13.182
_cell_length_c 8.930
_cell_angle_alpha 90.00
_cell_angle_beta 114.53
_cell_angle_gamma 90.00
_symmetry_space_group_name_H-M 'C 1 2/c 1'
_symmetry_Int_Tables_number 15
loop_
_symmetry_equiv_pos_as_xyz
'x,y,z'
'-x,-y,-z'
'-x,y,-z+1/2'
'x,-y,z+1/2'
'x+1/2,y+1/2,z'
'-x+1/2,-y+1/2,-z'
'-x+1/2,y+1/2,-z+1/2'
'x+1/2,-y+1/2,z+1/2'
loop_
_atom_site_label
_atom_site_type_symbol
_atom_site_fract_x
_atom_site_fract_y
_atom_site_fract_z
Ga1 Ga 0.188 0.086 0.255
Sn1 Sn 0.000 0.413 0.250
Br1 Br 0.113 0.397 0.624
Br2 Br 0.142 0.277 0.212
Br3 Br 0.145 0.001 0.975

=====

[17]
# Mn3Sb4 (PBE, relaxed)
# polymorph energy (0 for the lowest one)	0	meV per atom
# Fermi-level density of states	10.59	states/eV per cell
# raw formation energy	169	meV/atom
data_Mn3Sb4
_cell_length_a 3.213
_cell_length_b 3.213
_cell_length_c 28.331
_cell_angle_alpha 90.00
_cell_angle_beta 90.00
_cell_angle_gamma 90.00
_symmetry_space_group_name_H-M 'I 4/m m m'
_symmetry_Int_Tables_number 139
_symmetry_space_group_name_Hall '-I 4 2'
loop_
_atom_site_label
_atom_site_type_symbol
_atom_site_fract_x
_atom_site_fract_y
_atom_site_fract_z
Mn1 Mn 0.000 0.000 0.000
Mn2 Mn 0.000 0.000 0.273
Sb1 Sb 0.000 0.000 0.173
Sb2 Sb 0.000 0.000 0.444

=====

[18]
# YHo2Tm (PBE, relaxed)
# polymorph energy (0 for the lowest one)	0	meV per atom
# E_form	0.013	eV/atom
# Fermi-level density of states	18.55	states/eV per cell
data_YHo2Tm
_cell_length_a 3.5581
_cell_length_b 3.5581
_cell_length_c 34.0702
_cell_angle_alpha 90.00
_cell_angle_beta 90.00
_cell_angle_gamma 120.00
_symmetry_space_group_name_H-M 'R 3 m'
_symmetry_Int_Tables_number 160
_symmetry_space_group_name_Hall 'R 3 -2"'
loop_
_atom_site_label
_atom_site_type_symbol
_atom_site_fract_x
_atom_site_fract_y
_atom_site_fract_z
Y1 Y 0.0000 0.0000 0.0000
Ho1 Ho 0.0000 0.0000 0.2499
Ho2 Ho 0.0000 0.0000 0.4177
Tm1 Tm 0.0000 0.0000 0.8340

=====

[19]
# RbGeIO2 (PBE, relaxed)
# polymorph energy (0 for the lowest one)	1126	meV per atom
# Fermi-level density of states	3.19	states/eV per cell
# raw formation energy	662	meV/atom
data_RbGeIO2
_cell_length_a 4.802
_cell_length_b 4.802
_cell_length_c 6.850
_cell_angle_alpha 90.00
_cell_angle_beta 90.00
_cell_angle_gamma 90.00
_symmetry_space_group_name_H-M 'P 4/m m m'
_symmetry_Int_Tables_number 123
_symmetry_space_group_name_Hall '-P 4 2'
loop_
_atom_site_label
_atom_site_type_symbol
_atom_site_fract_x
_atom_site_fract_y
_atom_site_fract_z
Rb1 Rb 0.000 0.000 0.000
Ge1 Ge 0.500 0.500 0.500
I1 I 0.000 0.000 0.500
O1 O 0.000 0.500 0.000

=====

[20]
# Tb5Ho4Er4 (PBE, relaxed)
# E_form	0.018	eV/atom
# Fermi-level density of states	34.20	states/eV per cell
data_Tb5Ho4Er4
_cell_length_a 12.713
_cell_length_b 12.713
_cell_length_c 4.976
_cell_angle_alpha 90.00
_cell_angle_beta 90.00
_cell_angle_gamma 90.00
_symmetry_space_group_name_H-M 'I 4/m'
_symmetry_Int_Tables_number 87
_symmetry_space_group_name_Hall '-I 4'
loop_
_atom_site_label
_atom_site_type_symbol
_atom_site_fract_x
_atom_site_fract_y
_atom_site_fract_z
Tb1 Tb 0.000 0.000 0.000
Tb2 Tb 0.038 0.193 0.500
Ho1 Ho 0.154 0.769 0.000
Er1 Er 0.076 0.385 0.000